TiZn4Co, optimized geometry, DFT GGA-PBE; energy above the lowest structure with this stoichiometry = 0.000 eV/atom; SG = F-43m; density = 7.29 g/cm³; magnetization = 1.0 μB per cell; D(E_F) = 6.10 states/eV per cell
1.0
-3.999 -2.593 1.193
0.466 -4.565 1.757
-1.007 -0.931 4.718
Zn Co Ti
4 1 1
direct
0.625 0.625 0.124 Zn
0.625 0.124 0.625 Zn
0.625 0.625 0.625 Zn
0.124 0.625 0.625 Zn
0.000 0.000 0.000 Co
0.250 0.250 0.250 Ti